First-principles (PBE) data for crystalline NbSeN2O at its relaxed geometry, as listed in the Alexandria database.

Calculated values
The volume is 11.44 Å³/atom. Its symmetry is No. 123.

Cell lengths 3.876, 3.876, 3.806 Å; angles 90.00, 90.00, 90.00 degrees
Fractional coordinates of all 5 atoms:
N (0.000, 0.500, 0.000)
N (0.500, 0.000, 0.000)
Nb (0.500, 0.500, 0.500)
Se (0.000, 0.000, 0.500)
O (0.000, 0.000, 0.000)

First-principles (PBE) data for crystalline NbSeN2O at its relaxed geometry, as listed in the Alexandria database.

Calculated values
The volume is 16.84 Å³/atom. Its symmetry is No. 123.

Cell lengths 3.891, 5.562, 3.891 Å; angles 90.00, 90.00, 90.00 degrees
Site moments in Bohr magnetons follow the coordinates.
Fractional coordinates of all 5 atoms:
Nb (0.000, 0.000, 0.000)  -0.10
O (0.500, 0.500, 0.500)  -0.23
N (0.000, 0.000, 0.500)  0.41
N (0.500, 0.000, 0.000)  0.20
Se (0.000, 0.500, 0.000)  0.04

First-principles (PBE) data for crystalline NbSiNO2 at its relaxed geometry, as listed in the Alexandria database.

Calculated values
The volume is 9.30 Å³/atom. Its symmetry is No. 123.

Cell lengths 3.475, 3.475, 3.851 Å; angles 90.00, 90.00, 90.00 degrees
Site moments in Bohr magnetons follow the coordinates.
Fractional coordinates of all 5 atoms:
Nb (0.500, 0.500, 0.500)  1.55
O (0.000, 0.500, 0.000)  0.00
O (0.500, 0.000, 0.000)  0.00
N (0.000, 0.000, 0.500)  -0.04
Si (0.000, 0.000, 0.000)  0.01

First-principles (PBE) data for crystalline NbSiN2O at its relaxed geometry, as listed in the Alexandria database.

Calculated values
The volume is 9.12 Å³/atom. Its symmetry is No. 123.

Cell lengths 3.663, 3.663, 3.401 Å; angles 90.00, 90.00, 90.00 degrees
Site moments in Bohr magnetons follow the coordinates.
Fractional coordinates of all 5 atoms:
Nb (0.500, 0.500, 0.500)  0.52
N (0.500, 0.000, 0.000)  -0.03
N (0.000, 0.500, 0.000)  -0.03
O (0.000, 0.000, 0.500)  -0.01
Si (0.000, 0.000, 0.000)  0.00

First-principles (PBE) data for crystalline NbSiNO2 at its relaxed geometry, as listed in the Alexandria database.

Calculated values
The volume is 13.14 Å³/atom. Its symmetry is No. 123.

Cell lengths 3.962, 3.962, 4.184 Å; angles 90.00, 90.00, 90.00 degrees
Fractional coordinates of all 5 atoms:
O (0.000, 0.500, 0.000)
O (0.500, 0.000, 0.000)
N (0.000, 0.000, 0.500)
Si (0.500, 0.500, 0.500)
Nb (0.000, 0.000, 0.000)

First-principles (PBE) data for crystalline NbSiN2O at its relaxed geometry, as listed in the Alexandria database.

Calculated values
The volume is 13.35 Å³/atom. Its symmetry is No. 123.

Cell lengths 4.106, 4.106, 3.959 Å; angles 90.00, 90.00, 90.00 degrees
Fractional coordinates of all 5 atoms:
Si (0.500, 0.500, 0.500)
N (0.500, 0.000, 0.000)
N (0.000, 0.500, 0.000)
O (0.000, 0.000, 0.500)
Nb (0.000, 0.000, 0.000)

Here are the calculated ρ numbers, same order: 6268; 4257; 5962; 6005; 4222; 4105 (kg/m3).
Here are the calculated energy relative to the elements, uncorrected numbers, same order: 1.423; 0.866; -1.102; -0.643; -0.803; 0.032 (eV/atom).
Here are the calculated D(E_F) numbers, same order: 2.46; 5.00; 1.42; 1.74; 0.16; 3.48 (states/eV per cell).